This record from Alexandria describes a relaxed NaCo2TcOs crystal. The functional is GGA-PBE.

Structure (extended XYZ):
```
5
Lattice="-1.675 1.251 3.793 1.829 -3.814 2.065 3.622 2.208 0.872" Properties=species:S:1:pos:R:3 pbc="T T T"
Co 1.811 1.104 0.436
Co -0.838 0.625 1.897
Os 1.888 -0.178 3.365
Tc 0.000 0.000 0.000
Na 0.914 -1.907 1.033
```

Properties
Energy of formation   10.8 eV per formula unit
Total moment   3.7 μB per cell

***

This record from Alexandria describes a relaxed Cs2RbRuO6 crystal. The functional is GGA-PBE.

Structure (extended XYZ):
```
10
Lattice="-6.307 2.480 1.714 -1.010 -5.231 3.852 2.800 5.411 2.471" Properties=species:S:1:pos:R:3 pbc="T T T"
Cs 0.722 2.181 3.151
Cs -5.239 0.479 4.887
Rb -3.153 1.240 0.857
Ru 0.000 0.000 0.000
O -4.706 2.844 2.628
O -3.035 6.075 4.104
O -3.638 2.951 6.404
O -1.482 -3.415 3.934
O -0.879 -0.291 1.634
O 0.189 -0.184 5.410
```

Properties
Uncorrected formation energy   -0.945 eV/atom
Total moment   1.0 μB per cell

***

This record from Alexandria describes a relaxed Pm3Ni3Ir crystal. The functional is GGA-PBE.

Structure (extended XYZ):
```
14
Lattice="4.151 0.000 0.000 0.000 8.928 0.000 0.000 -4.464 7.732" Properties=species:S:1:pos:R:3 pbc="T T T"
Pm 3.113 3.529 4.529
Pm 3.113 3.241 0.792
Pm 3.113 6.622 2.411
Pm 1.038 0.935 3.203
Pm 1.038 1.223 6.940
Pm 1.038 -2.157 5.321
Ni 1.038 4.025 6.387
Ni 1.038 1.384 0.292
Ni 1.038 7.983 1.052
Ni 3.113 0.439 1.344
Ni 3.113 3.081 7.440
Ni 3.113 -3.519 6.680
Ir 1.038 4.464 2.577
Ir 3.113 0.000 5.155
```

Properties
Energy relative to the lowest polymorph listed for this composition   41 meV/atom
Energy of formation   -2.7 eV per formula unit
Total moment   0.0 μB per cell